Here is CsMg6CoO8 after structural relaxation from Alexandria via LeMat-Bulk. Energies are from GGA+U.

Calculated values
* calculated volume: 187 Å³/cell
* electronic total energy: -5.2596 eV per atom
* N(E_F): 3.6 states/eV/cell
* total magnetic moment: 3.22 μB/f.u.

a b c (Å): 4.450 4.450 9.450
angles (deg): 90.00 90.00 90.00
Space group P4/mmm (No. 123)
One atom of each set of equivalent atoms:
1 Cs 0.000 0.000 0.000 [1 per cell]
2 Mg 0.000 0.000 0.500 [1 per cell]
3 Mg 0.000 0.500 0.279 [4 per cell]
4 Mg 0.500 0.500 0.500 [1 per cell]
5 Co 0.500 0.500 0.000 [1 per cell]
6 O 0.000 0.000 0.288 [2 per cell]
7 O 0.000 0.500 0.000 [2 per cell]
8 O 0.000 0.500 0.500 [2 per cell]
9 O 0.500 0.500 0.269 [2 per cell]